First-principles (PBE) data for crystalline AuSeIN2 at its relaxed geometry, as listed in the Alexandria database.

Cell and atoms, written as CIF:
```
data_AuSeIN2
_chemical_formula_sum 'Au1 Se1 I1 N2'
_cell_length_a 3.879
_cell_length_b 3.879
_cell_length_c 8.403
_cell_angle_alpha 90.00
_cell_angle_beta 90.00
_cell_angle_gamma 90.00
_space_group_name_H-M_alt 'P 4/m m m'
_space_group_IT_number 123
_space_group_name_Hall '-P 4 2'
loop_
_atom_site_label
_atom_site_fract_x
_atom_site_fract_y
_atom_site_fract_z
Au1 0.000 0.000 0.000
Se1 0.500 0.500 0.500
I1 0.500 0.500 0.000
N1 0.000 0.500 0.500
```

Results
energy relative to the lowest polymorph listed for this composition = 0.0 meV per atom
theoretical density = 5.7 Mg/m³
calculated volume = 25.29 Å³/atom
N(E_F) = 0.71 states/eV per atom



First-principles (PBE) data for crystalline CrReSb2Te at its relaxed geometry, as listed in the Alexandria database.

Cell and atoms, written as CIF:
```
data_CrReSb2Te
_chemical_formula_sum 'Cr1 Re1 Sb2 Te1'
_cell_length_a 4.964
_cell_length_b 4.964
_cell_length_c 5.199
_cell_angle_alpha 90.00
_cell_angle_beta 90.00
_cell_angle_gamma 90.00
_space_group_name_H-M_alt 'P 4/m m m'
_space_group_IT_number 123
_space_group_name_Hall '-P 4 2'
loop_
_atom_site_label
_atom_site_fract_x
_atom_site_fract_y
_atom_site_fract_z
Cr1 0.000 0.000 0.000
Re1 0.500 0.500 0.500
Sb1 0.000 0.500 0.000
Te1 0.000 0.000 0.500
```

Results
energy relative to the lowest polymorph listed for this composition = 0.0 meV per atom
theoretical density = 7.9 Mg/m³
calculated volume = 25.63 Å³/atom
N(E_F) = 0.74 states/eV per atom